ZrPt3 after structural relaxation. Source: Alexandria, functional PBEsol.

Unit cell a=3.994 b=3.994 c=3.994 alpha=90.00 beta=90.00 gamma=90.00
Space group Pm-3m (No. 221)
One atom of each set of equivalent atoms:
Zr 0.000 0.000 0.000
Pt 0.000 0.500 0.500

Summary:
Size of the total moment = 0.0 μB/f.u.
Energy of formation = -4.2 eV/f.u.